[1]
Compound: SiRh2W
Source: Alexandria via LeMat-Bulk
Functional: PBE-GGA
Structure: optimized geometry

* space group: I-4m2 (119)
* raw total energy: -8.485 eV per atom
* DOS(E_F): 0.6090 states/eV per atom
* ΔE_f (raw): -0.22 eV per atom

a b c (Å): 4.6910 4.6910 4.6910
angles (deg): 131.43 131.43 71.13
Closest atoms and distances in Å follow each position.
Positions (direct):
Rh  0.0000  0.0000  0.0000  4 Rh 2.71, 4 W 2.71, 4 Si 2.73
Rh  0.2500  0.7500  0.5000  4 Rh 2.71, 4 Si 2.71, 4 W 2.73
Si  0.5000  0.5000  0.0000  4 W 2.71, 8 Rh 2.71-2.73
W  0.7500  0.2500  0.5000  8 Rh 2.71-2.73, 4 Si 2.71

=====

[2]
Compound: CsNdAs2Pd4
Source: Alexandria via LeMat-Bulk
Functional: PBE-GGA
Structure: optimized geometry

* space group: P4/mmm (123)
* formation enthalpy at 0 K: -0.524 eV/atom
* raw total energy: -4.985 eV per atom
* DOS(E_F): 0.4405 states/eV per atom

a b c (Å): 4.1881 4.1881 11.5651
angles (deg): 90.00 90.00 90.00
Closest atoms and distances in Å follow each position.
Positions (direct):
Cs  0.0000  0.0000  0.5000  8 As 3.79, 4 Cs 4.19, 8 Pd 4.20
Nd  0.0000  0.0000  0.0000  8 Pd 2.99
As  0.5000  0.5000  0.2962  4 Pd 2.46
As  0.5000  0.5000  0.7038  4 Pd 2.46
Pd  0.0000  0.5000  0.1848  2 As 2.46
Pd  0.5000  0.0000  0.8152  2 As 2.46
Pd  0.5000  0.0000  0.1848  2 As 2.46
Pd  0.0000  0.5000  0.8152  2 As 2.46

=====

[3]
Compound: HoSc2Sb
Source: Alexandria via LeMat-Bulk
Functional: PBE-GGA
Structure: optimized geometry

* space group: P2_1/m (11)
* raw total energy: -5.960 eV per atom
* DOS(E_F): 1.4001 states/eV per atom
* ΔE_f (raw): -0.62 eV per atom

a b c (Å): 4.3597 4.3663 10.8936
angles (deg): 101.54 90.00 90.00
Closest atoms and distances in Å follow each position.
Positions (direct):
Ho  0.2500  0.3079  0.6150  5 Sb 3.13-3.16
Ho  0.7500  0.6921  0.3850  5 Sb 3.13-3.16
Sc  0.7500  0.4432  0.8857  8 Sc 3.09-3.30, 2 Sb 3.11
Sc  0.2500  0.5568  0.1143  8 Sc 3.09-3.30, 2 Sb 3.11
Sc  0.2500  0.9419  0.8832  8 Sc 3.09-3.31, 2 Sb 3.09
Sc  0.7500  0.0581  0.1168  8 Sc 3.09-3.31, 2 Sb 3.09
Sb  0.7500  0.8395  0.6784  4 Sc 3.09-3.11, 5 Ho 3.13-3.16
Sb  0.2500  0.1605  0.3216  4 Sc 3.09-3.11, 5 Ho 3.13-3.16